# La2AgSn2

A relaxed La2AgSn2 crystal (GGA-PBEsol, the Alexandria database).

Cell lengths 7.5544, 7.5544, 4.8413 Å; angles 90.00, 90.00, 90.00 degrees
With the nearest neighbours (Å) after each atom.
Fractional positions:
La 0.1703 0.3297 0.0000  6 Sn 3.18-3.36
La 0.3297 0.8297 0.0000  6 Sn 3.18-3.36
La 0.6703 0.1703 0.0000  6 Sn 3.18-3.36
La 0.8297 0.6703 0.0000  6 Sn 3.18-3.36
Ag 0.0000 0.0000 0.5000  4 Sn 2.94
Ag 0.5000 0.5000 0.5000  4 Sn 2.94
Sn 0.1360 0.6360 0.5000  1 Sn 2.91, 2 Ag 2.94, 2 La 3.18
Sn 0.3640 0.1360 0.5000  1 Sn 2.91, 2 Ag 2.94, 2 La 3.18
Sn 0.6360 0.8640 0.5000  1 Sn 2.91, 2 Ag 2.94, 2 La 3.18
Sn 0.8640 0.3640 0.5000  1 Sn 2.91, 2 Ag 2.94, 2 La 3.18

Results
- Space-group type: P4/mbm
- DFT formation energy: -629.4 meV/atom
- Size of the total moment: 0.00 μB per cell